Tm2Zr3Sc2: optimized geometry, PBE.

Lattice parameters (Å, degrees): 7.774 7.774 7.774 109.47 109.47 109.47
Fractional coordinates of all 14 atoms:
1 Tm 0.500 0.826 0.500
2 Tm 0.326 0.500 0.000
3 Tm 0.174 0.674 0.674
4 Tm 0.000 0.000 0.826
5 Zr 0.778 0.250 0.528
6 Zr 0.472 0.222 0.750
7 Zr 0.250 0.972 0.222
8 Zr 0.722 0.750 0.972
9 Zr 0.028 0.278 0.250
10 Zr 0.750 0.528 0.278
11 Sc 0.946 0.500 0.000
12 Sc 0.500 0.446 0.500
13 Sc 0.000 0.000 0.446
14 Sc 0.554 0.054 0.054

Results
Formation energy: 2.2 eV per formula unit
DFT total energy: -6.4394 eV per atom
Space-group type: I2_13 (199)